A geometry-optimized Cu6AgAu structure, computed with PBE-GGA.

abc: 4.1509 4.1509 7.6780
angles: 90.00 90.00 116.82
Closest atoms and distances in Å follow each position.
Element x y z (fractional)
Cu 0.0000 0.0000 0.1704  1 Ag 2.53, 2 Au 2.54, 7 Cu 2.59-2.73
Cu 0.0000 0.0000 0.8296  1 Ag 2.53, 2 Au 2.54, 7 Cu 2.59-2.73
Cu 0.3303 0.6697 0.3169  4 Cu 2.40-2.59
Cu 0.3303 0.6697 0.6831  4 Cu 2.40-2.59
Cu 0.6697 0.3303 0.3169  4 Cu 2.40-2.59
Cu 0.6697 0.3303 0.6831  4 Cu 2.40-2.59
Ag 0.0000 0.0000 0.5000  6 Cu 2.53-2.73
Au 0.5000 0.5000 0.0000  8 Cu 2.54-2.71

Results
total energy	-3.6669	eV per atom
formation energy from the elements	171	meV/atom


A geometry-optimized KReSi2 structure, computed with PBE-GGA.

abc: 6.3866 6.3866 6.3866
angles: 156.05 119.11 66.40
Closest atoms and distances in Å follow each position.
Element x y z (fractional)
K 0.0000 0.0000 0.0000  2 K 2.65
Re 0.5000 0.5000 0.0000  4 Si 2.46, 2 Re 2.65
Si 0.3056 0.8056 0.5000  2 Re 2.46, 2 Si 2.65
Si 0.6944 0.1944 0.5000  2 Re 2.46, 2 Si 2.65

Results
total energy	-5.4994	eV per atom
formation energy from raw total energies	599	meV per atom


A geometry-optimized Sm2Dy2Tm2Mg structure, computed with PBE-GGA.

abc: 6.3054 6.3054 11.4991
angles: 117.87 117.87 33.59
Closest atoms and distances in Å follow each position.
Element x y z (fractional)
Sm 0.0260 0.0260 0.2426  2 Mg 3.22, 3 Dy 3.46-3.59, 3 Tm 3.49-3.50
Sm 0.9740 0.9740 0.7574  2 Mg 3.22, 3 Dy 3.46-3.59, 3 Tm 3.49-3.50
Dy 0.1810 0.1810 0.5875  4 Sm 3.46-3.85, 2 Tm 3.48, 5 Dy 3.64-3.82
Dy 0.8190 0.8190 0.4125  4 Sm 3.46-3.85, 2 Tm 3.48, 5 Dy 3.64-3.82
Tm 0.2449 0.2449 0.1259  2 Mg 3.16, 2 Tm 3.47, 2 Dy 3.48, 3 Sm 3.49-3.50
Tm 0.7551 0.7551 0.8741  2 Mg 3.16, 2 Tm 3.47, 2 Dy 3.48, 3 Sm 3.49-3.50
Mg 0.5000 0.5000 0.0000  4 Tm 3.16, 4 Sm 3.22

Results
total energy	-4.0808	eV per atom
formation energy from the elements	88	meV/atom


A geometry-optimized Pu4AsI5 structure, computed with PBE-GGA.

abc: 9.7919 9.7919 8.8409
angles: 101.59 101.59 25.12
Closest atoms and distances in Å follow each position.
Element x y z (fractional)
Pu 0.9998 0.9998 0.2247  2 As 2.91, 4 I 3.16-3.23
Pu 0.0002 0.0002 0.7753  2 As 2.91, 4 I 3.16-3.23
Pu 0.3441 0.3441 0.9313  1 As 2.92, 5 I 3.16-3.25
Pu 0.6559 0.6559 0.0687  1 As 2.92, 5 I 3.16-3.25
As 0.5000 0.5000 0.0000  6 Pu 2.91-2.92
I 0.1676 0.1676 0.3368  3 Pu 3.16
I 0.1714 0.1714 0.8120  4 Pu 3.17-3.25
I 0.5000 0.5000 0.5000  4 Pu 3.23
I 0.8286 0.8286 0.1880  4 Pu 3.17-3.25
I 0.8324 0.8324 0.6632  3 Pu 3.16

Results
total energy	-7.9388	eV per atom
formation energy from raw total energies	-966	meV per atom